Entry 1:
# Ac6Hg3Rh2

Ac6Hg3Rh2 after structural relaxation (PBE, Alexandria).

```
Ac6Hg3Rh2
1.0
-2.8221 2.8221 11.8184
2.8221 -2.8221 11.8184
2.8221 2.8221 -11.8184
Ac Hg Rh
6 3 2
direct
0.0851 0.5851 0.5000
0.2024 0.2024 0.0000
0.4149 0.9149 0.5000
0.5851 0.0851 0.5000
0.7976 0.7976 0.0000
0.9149 0.4149 0.5000
0.3359 0.3359 0.0000
0.5000 0.5000 0.0000
0.6641 0.6641 0.0000
0.0603 0.0603 0.0000
0.9397 0.9397 0.0000
```

As for the magnetic moment: 0.00 μB/cell. The calculation puts the final energy at -44.846 eV for the cell shown. The calculation puts the density of states at the Fermi level at 10.04 states/eV per cell.

---

Entry 2:
# Ac5Hg4Rh

Ac5Hg4Rh after structural relaxation (PBE, Alexandria).

```
Ac5Hg4Rh
1.0
3.9389 0.0000 0.0000
0.0000 3.9389 0.0000
0.0000 0.0000 20.3448
Ac Hg Rh
5 4 1
direct
0.0000 0.0000 0.0000
0.0000 0.0000 0.2055
0.0000 0.0000 0.4143
0.0000 0.0000 0.5857
0.0000 0.0000 0.7945
0.5000 0.5000 0.1030
0.5000 0.5000 0.3056
0.5000 0.5000 0.6944
0.5000 0.5000 0.8970
0.5000 0.5000 0.5000
```

As for the magnetic moment: 0.05 μB/cell. The calculation puts the final energy at -33.931 eV for the cell shown. The calculation puts the density of states at the Fermi level at 10.00 states/eV per cell.

---

Entry 3:
# AcHg2Rh

AcHg2Rh after structural relaxation (PBE, Alexandria).

```
AcHg2Rh
1.0
3.9525 0.0000 0.0000
0.0000 3.9525 0.0000
0.0000 0.0000 6.3502
Ac Hg Rh
1 2 1
direct
0.0000 0.0000 0.0000
0.5000 0.5000 0.2849
0.5000 0.5000 0.7151
0.0000 0.0000 0.5000
```

As for the magnetic moment: 0.00 μB/cell. The calculation puts the final energy at -12.577 eV for the cell shown. The calculation puts the density of states at the Fermi level at 3.63 states/eV per cell. The offset from the most stable computed form comes out at 340 meV per atom.